(1)
Th2MgPt: relaxed, PBE-GGA. Values from VASP.

Quantum ESPRESSO input file:
```
&SYSTEM
  ibrav = 0, nat = 4, ntyp = 3
/
ATOMIC_SPECIES
Pt 195.08 Pt.upf
Th 232.04 Th.upf
Mg 24.30 Mg.upf
CELL_PARAMETERS angstrom
3.6724 0.0000 0.0000
1.8362 3.1804 0.0000
1.8362 1.0601 10.9240
ATOMIC_POSITIONS crystal
Pt 0.5000 0.5000 0.5000
Th 0.1057 0.1057 0.6829
Th 0.8943 0.8943 0.3171
Mg 0.0000 0.0000 0.0000
```

## Properties
Space group = No. 166

(2)
Th2MgPt9: relaxed, PBE-GGA. Values from VASP.

Quantum ESPRESSO input file:
```
&SYSTEM
  ibrav = 0, nat = 12, ntyp = 3
/
ATOMIC_SPECIES
Pt 195.08 Pt.upf
Th 232.04 Th.upf
Mg 24.30 Mg.upf
CELL_PARAMETERS angstrom
5.4346 0.0000 0.0000
2.7173 4.7065 0.0000
2.7173 1.5688 8.9801
ATOMIC_POSITIONS crystal
Pt 0.0799 0.5871 0.7459
Pt 0.3327 0.3327 0.0019
Pt 0.9201 0.4129 0.2541
Pt 0.4129 0.9201 0.2541
Pt 0.5871 0.5871 0.7459
Pt 0.6673 0.6673 0.9981
Pt 0.5871 0.0799 0.7459
Pt 0.5000 0.5000 0.5000
Pt 0.4129 0.4129 0.2541
Th 0.1354 0.1354 0.5937
Th 0.8646 0.8646 0.4063
Mg 0.0000 0.0000 0.0000
```

## Properties
Space group = No. 166

(3)
Th2MgPt3: relaxed, PBE-GGA. Values from VASP.

Quantum ESPRESSO input file:
```
&SYSTEM
  ibrav = 0, nat = 24, ntyp = 3
/
ATOMIC_SPECIES
Pt 195.08 Pt.upf
Mg 24.30 Mg.upf
Th 232.04 Th.upf
CELL_PARAMETERS angstrom
3.9740 0.0000 0.0000
0.0000 7.3552 0.0000
0.0000 0.0000 18.0085
ATOMIC_POSITIONS crystal
Pt 0.7500 0.7427 0.4553
Pt 0.7500 0.8104 0.6854
Pt 0.2500 0.7573 0.9553
Pt 0.2500 0.2573 0.5447
Pt 0.2500 0.6896 0.1854
Pt 0.2500 0.5936 0.3420
Pt 0.2500 0.0936 0.1580
Pt 0.7500 0.2427 0.0447
Pt 0.7500 0.3104 0.8146
Pt 0.7500 0.4064 0.6580
Pt 0.2500 0.1896 0.3146
Pt 0.7500 0.9064 0.8420
Mg 0.2500 0.9768 0.4380
Mg 0.2500 0.4768 0.0620
Mg 0.7500 0.5232 0.9380
Mg 0.7500 0.0232 0.5620
Th 0.7500 0.3804 0.2103
Th 0.7500 0.8804 0.2897
Th 0.7500 0.8554 0.0741
Th 0.2500 0.6196 0.7897
Th 0.7500 0.3554 0.4259
Th 0.2500 0.1446 0.9259
Th 0.2500 0.1196 0.7103
Th 0.2500 0.6446 0.5741
```

## Properties
Space group = No. 62

(4)
Th2MgPt9: relaxed, PBE-GGA. Values from VASP.

Quantum ESPRESSO input file:
```
&SYSTEM
  ibrav = 0, nat = 12, ntyp = 3
/
ATOMIC_SPECIES
Pt 195.08 Pt.upf
Th 232.04 Th.upf
Mg 24.30 Mg.upf
CELL_PARAMETERS angstrom
4.1747 0.0000 0.0000
0.0000 4.1747 0.0000
0.0000 0.0000 12.3105
ATOMIC_POSITIONS crystal
Pt 0.5000 0.5000 0.0000
Pt 0.5000 0.5000 0.3279
Pt 0.0000 0.5000 0.1535
Pt 0.5000 0.0000 0.1535
Pt 0.0000 0.5000 0.8465
Pt 0.5000 0.0000 0.5000
Pt 0.0000 0.5000 0.5000
Pt 0.5000 0.0000 0.8465
Pt 0.5000 0.5000 0.6721
Th 0.0000 0.0000 0.3237
Th 0.0000 0.0000 0.6763
Mg 0.0000 0.0000 0.0000
```

## Properties
Space group = No. 123

(5)
ThMgPt6: relaxed, PBE-GGA. Values from VASP.

Quantum ESPRESSO input file:
```
&SYSTEM
  ibrav = 0, nat = 8, ntyp = 3
/
ATOMIC_SPECIES
Pt 195.08 Pt.upf
Mg 24.30 Mg.upf
Th 232.04 Th.upf
CELL_PARAMETERS angstrom
-1.9524 -3.5958 0.6310
1.6349 -0.2213 3.7971
-6.3738 3.9832 2.9765
ATOMIC_POSITIONS crystal
Pt 0.0000 0.5000 0.7339
Pt 0.5000 0.0000 0.2661
Pt 0.5000 0.5000 0.0000
Pt 0.0000 0.5000 0.2661
Pt 0.5000 0.0000 0.7339
Pt 0.5000 0.5000 0.5000
Mg 0.0000 0.0000 0.5000
Th 0.0000 0.0000 0.0000
```

## Properties
Space group = No. 123

(6)
ThMgTlPt: relaxed, PBE-GGA. Values from VASP.

Quantum ESPRESSO input file:
```
&SYSTEM
  ibrav = 0, nat = 4, ntyp = 4
/
ATOMIC_SPECIES
Tl 204.38 Tl.upf
Pt 195.08 Pt.upf
Mg 24.30 Mg.upf
Th 232.04 Th.upf
CELL_PARAMETERS angstrom
5.1018 0.0000 0.0000
2.5509 4.4183 0.0000
2.5509 1.4728 4.1656
ATOMIC_POSITIONS crystal
Tl 0.7500 0.7500 0.7500
Pt 0.2500 0.2500 0.2500
Mg 0.5000 0.5000 0.5000
Th 0.0000 0.0000 0.0000
```

## Properties
Space group = No. 216

(7)
ThMgZn5Pt2: relaxed, PBE-GGA. Values from VASP.

Quantum ESPRESSO input file:
```
&SYSTEM
  ibrav = 0, nat = 9, ntyp = 4
/
ATOMIC_SPECIES
Zn 65.41 Zn.upf
Th 232.04 Th.upf
Pt 195.08 Pt.upf
Mg 24.30 Mg.upf
CELL_PARAMETERS angstrom
4.8202 0.0000 0.0000
0.0000 4.8202 0.0000
0.0000 0.0000 7.6166
ATOMIC_POSITIONS crystal
Zn 0.0000 0.5000 0.2330
Zn 0.5000 0.5000 0.5000
Zn 0.5000 0.0000 0.2330
Zn 0.0000 0.5000 0.7670
Zn 0.5000 0.0000 0.7670
Th 0.0000 0.0000 0.5000
Pt 0.5000 0.5000 0.1754
Pt 0.5000 0.5000 0.8246
Mg 0.0000 0.0000 0.0000
```

## Properties
Space group = No. 123

(8)
ThMgZnPt: relaxed, PBE-GGA. Values from VASP.

Quantum ESPRESSO input file:
```
&SYSTEM
  ibrav = 0, nat = 4, ntyp = 4
/
ATOMIC_SPECIES
Pt 195.08 Pt.upf
Th 232.04 Th.upf
Mg 24.30 Mg.upf
Zn 65.41 Zn.upf
CELL_PARAMETERS angstrom
4.9229 0.0000 0.0000
2.4614 4.2633 0.0000
2.4614 1.4211 4.0195
ATOMIC_POSITIONS crystal
Pt 0.7500 0.7500 0.7500
Th 0.5000 0.5000 0.5000
Mg 0.0000 0.0000 0.0000
Zn 0.2500 0.2500 0.2500
```

## Properties
Space group = No. 216

(9)
Th2MgZn3Pt4: relaxed, PBE-GGA. Values from VASP.

Quantum ESPRESSO input file:
```
&SYSTEM
  ibrav = 0, nat = 10, ntyp = 4
/
ATOMIC_SPECIES
Mg 24.30 Mg.upf
Pt 195.08 Pt.upf
Zn 65.41 Zn.upf
Th 232.04 Th.upf
CELL_PARAMETERS angstrom
4.0989 0.0000 0.0000
0.0000 4.0989 0.0000
0.0000 0.0000 11.6010
ATOMIC_POSITIONS crystal
Mg 0.5000 0.5000 0.5000
Pt 0.0000 0.0000 0.0000
Pt 0.5000 0.5000 0.0000
Pt 0.5000 0.0000 0.6558
Pt 0.0000 0.5000 0.3442
Zn 0.0000 0.0000 0.5000
Zn 0.0000 0.5000 0.1283
Zn 0.5000 0.0000 0.8717
Th 0.5000 0.0000 0.2391
Th 0.0000 0.5000 0.7609
```

## Properties
Space group = No. 115

(10)
Mg2TiPt: relaxed, PBE-GGA. Values from VASP.

Quantum ESPRESSO input file:
```
&SYSTEM
  ibrav = 0, nat = 4, ntyp = 3
/
ATOMIC_SPECIES
Pt 195.08 Pt.upf
Mg 24.30 Mg.upf
Ti 47.87 Ti.upf
CELL_PARAMETERS angstrom
3.2506 -1.4343 2.8739
-0.9106 -0.4081 4.4595
-0.2977 -4.1448 1.9013
ATOMIC_POSITIONS crystal
Pt 0.5000 0.5000 0.5000
Mg 0.2500 0.2500 0.2500
Mg 0.7500 0.7500 0.7500
Ti 0.0000 0.0000 0.0000
```

## Properties
Space group = No. 225

(11)
Mg2TiPt: relaxed, PBE-GGA. Values from VASP.

Quantum ESPRESSO input file:
```
&SYSTEM
  ibrav = 0, nat = 8, ntyp = 3
/
ATOMIC_SPECIES
Pt 195.08 Pt.upf
Mg 24.30 Mg.upf
Ti 47.87 Ti.upf
CELL_PARAMETERS angstrom
-5.7383 4.4346 2.5906
2.0102 -1.6352 7.2519
-0.2140 3.5225 4.9425
ATOMIC_POSITIONS crystal
Pt 0.7500 0.2500 0.5000
Pt 0.0000 0.0000 0.0000
Mg 0.6697 0.1250 0.2500
Mg 0.0803 0.6250 0.2500
Mg 0.3750 0.3303 0.7500
Mg 0.8750 0.9197 0.7500
Ti 0.2500 0.7500 0.5000
Ti 0.5000 0.5000 0.0000
```

## Properties
Space group = No. 122

(12)
MgTiPt3: relaxed, PBE-GGA. Values from VASP.

Quantum ESPRESSO input file:
```
&SYSTEM
  ibrav = 0, nat = 5, ntyp = 3
/
ATOMIC_SPECIES
Pt 195.08 Pt.upf
Ti 47.87 Ti.upf
Mg 24.30 Mg.upf
CELL_PARAMETERS angstrom
4.5596 0.0000 0.0000
0.0000 4.5596 0.0000
0.0000 0.0000 4.5596
ATOMIC_POSITIONS crystal
Pt 0.0000 0.0000 0.5000
Pt 0.5000 0.0000 0.0000
Pt 0.0000 0.5000 0.0000
Ti 0.5000 0.5000 0.5000
Mg 0.0000 0.0000 0.0000
```

## Properties
Space group = No. 221

(13)
Mg3TiPt12: relaxed, PBE-GGA. Values from VASP.

Quantum ESPRESSO input file:
```
&SYSTEM
  ibrav = 0, nat = 16, ntyp = 3
/
ATOMIC_SPECIES
Pt 195.08 Pt.upf
Ti 47.87 Ti.upf
Mg 24.30 Mg.upf
CELL_PARAMETERS angstrom
-2.9730 2.1599 -1.4648
-1.7712 -0.0391 3.5371
7.6611 13.2462 3.9828
ATOMIC_POSITIONS crystal
Pt 0.0000 0.5000 0.8782
Pt 0.5000 0.0000 0.3746
Pt 0.0000 0.5000 0.1218
Pt 0.5000 0.5000 0.2486
Pt 0.0000 0.5000 0.6254
Pt 0.5000 0.0000 0.8782
Pt 0.5000 0.0000 0.1218
Pt 0.5000 0.5000 0.7514
Pt 0.5000 0.5000 0.5000
Pt 0.5000 0.0000 0.6254
Pt 0.5000 0.5000 0.0000
Pt 0.0000 0.5000 0.3746
Ti 0.0000 0.0000 0.0000
Mg 0.0000 0.0000 0.5000
Mg 0.0000 0.0000 0.2505
Mg 0.0000 0.0000 0.7495
```

## Properties
Space group = No. 123

(14)
MgTiPt3: relaxed, PBE-GGA. Values from VASP.

Quantum ESPRESSO input file:
```
&SYSTEM
  ibrav = 0, nat = 5, ntyp = 3
/
ATOMIC_SPECIES
Mg 24.30 Mg.upf
Ti 47.87 Ti.upf
Pt 195.08 Pt.upf
CELL_PARAMETERS angstrom
-4.3997 -1.2671 -1.1118
0.1081 -3.3131 3.3482
-1.6823 3.1011 3.1229
ATOMIC_POSITIONS crystal
Mg 0.5000 0.5000 0.5000
Ti 0.0000 0.0000 0.0000
Pt 0.0000 0.0000 0.5000
Pt 0.0000 0.5000 0.0000
Pt 0.5000 0.0000 0.0000
```

## Properties
Space group = No. 221

(15)
Mg3TiPt2: relaxed, PBE-GGA. Values from VASP.

Quantum ESPRESSO input file:
```
&SYSTEM
  ibrav = 0, nat = 6, ntyp = 3
/
ATOMIC_SPECIES
Mg 24.30 Mg.upf
Pt 195.08 Pt.upf
Ti 47.87 Ti.upf
CELL_PARAMETERS angstrom
-2.6168 1.9216 1.4621
-2.0048 -3.6954 1.2682
5.8595 1.0414 4.7850
ATOMIC_POSITIONS crystal
Mg 0.5000 0.5000 0.0000
Mg 0.1778 0.6743 0.3552
Mg 0.8222 0.3257 0.6448
Pt 0.6303 0.1275 0.2605
Pt 0.3697 0.8725 0.7395
Ti 0.0000 0.0000 0.0000
```

## Properties
Space group = No. 12

(16)
MgTi2Pt3: relaxed, PBE-GGA. Values from VASP.

Quantum ESPRESSO input file:
```
&SYSTEM
  ibrav = 0, nat = 12, ntyp = 3
/
ATOMIC_SPECIES
Mg 24.30 Mg.upf
Pt 195.08 Pt.upf
Ti 47.87 Ti.upf
CELL_PARAMETERS angstrom
-1.4833 3.8069 -0.2832
-5.3340 -0.1465 -3.6495
-4.1542 -1.1634 6.1182
ATOMIC_POSITIONS crystal
Mg 0.6697 0.6604 0.0000
Mg 0.3303 0.3396 0.0000
Pt 0.8359 0.3282 0.2531
Pt 0.5000 0.0000 0.2421
Pt 0.8359 0.3282 0.7469
Pt 0.1641 0.6718 0.2531
Pt 0.1641 0.6718 0.7469
Pt 0.5000 0.0000 0.7579
Ti 0.3353 0.3292 0.5000
Ti 0.0000 0.0000 0.0000
Ti 0.6647 0.6708 0.5000
Ti 0.0000 0.0000 0.5000
```

## Properties
Space group = No. 65

(17)
MgTi2Pt3: relaxed, PBE-GGA. Values from VASP.

Quantum ESPRESSO input file:
```
&SYSTEM
  ibrav = 0, nat = 6, ntyp = 3
/
ATOMIC_SPECIES
Pt 195.08 Pt.upf
Mg 24.30 Mg.upf
Ti 47.87 Ti.upf
CELL_PARAMETERS angstrom
3.0654 0.0000 0.0000
0.0000 3.0654 0.0000
0.0000 0.0000 10.2723
ATOMIC_POSITIONS crystal
Pt 0.0000 0.0000 0.3227
Pt 0.0000 0.0000 0.6773
Pt 0.0000 0.0000 0.0000
Mg 0.5000 0.5000 0.5000
Ti 0.5000 0.5000 0.8308
Ti 0.5000 0.5000 0.1692
```

## Properties
Space group = No. 123

(18)
MgTiTlPt: relaxed, PBE-GGA. Values from VASP.

Quantum ESPRESSO input file:
```
&SYSTEM
  ibrav = 0, nat = 4, ntyp = 4
/
ATOMIC_SPECIES
Pt 195.08 Pt.upf
Ti 47.87 Ti.upf
Tl 204.38 Tl.upf
Mg 24.30 Mg.upf
CELL_PARAMETERS angstrom
4.6895 0.0000 0.0000
2.3447 4.0612 0.0000
2.3447 1.3537 3.8289
ATOMIC_POSITIONS crystal
Pt 0.7500 0.7500 0.7500
Ti 0.5000 0.5000 0.5000
Tl 0.2500 0.2500 0.2500
Mg 0.0000 0.0000 0.0000
```

## Properties
Space group = No. 216

(19)
MgTi2ZnPt4: relaxed, PBE-GGA. Values from VASP.

Quantum ESPRESSO input file:
```
&SYSTEM
  ibrav = 0, nat = 8, ntyp = 4
/
ATOMIC_SPECIES
Pt 195.08 Pt.upf
Ti 47.87 Ti.upf
Mg 24.30 Mg.upf
Zn 65.41 Zn.upf
CELL_PARAMETERS angstrom
4.4531 0.0000 0.0000
2.2266 3.8565 0.0000
2.2266 1.2855 7.2715
ATOMIC_POSITIONS crystal
Pt 0.6250 0.6250 0.1250
Pt 0.3750 0.3750 0.8750
Pt 0.1254 0.1254 0.6237
Pt 0.8746 0.8746 0.3763
Ti 0.7512 0.7512 0.7463
Ti 0.2488 0.2488 0.2537
Mg 0.0000 0.0000 0.0000
Zn 0.5000 0.5000 0.5000
```

## Properties
Space group = No. 166

(20)
Mg2TlPt2: relaxed, PBE-GGA. Values from VASP.

Quantum ESPRESSO input file:
```
&SYSTEM
  ibrav = 0, nat = 5, ntyp = 3
/
ATOMIC_SPECIES
Mg 24.30 Mg.upf
Pt 195.08 Pt.upf
Tl 204.38 Tl.upf
CELL_PARAMETERS angstrom
3.9259 0.0000 0.0000
0.0000 3.9259 0.0000
1.9629 1.9629 6.7691
ATOMIC_POSITIONS crystal
Mg 0.3810 0.3810 0.2380
Mg 0.6190 0.6190 0.7620
Pt 0.2500 0.7500 0.5000
Pt 0.7500 0.2500 0.5000
Tl 0.0000 0.0000 0.0000
```

## Properties
Space group = No. 139

| no. | Fermi-level density of states (states/eV/f.u.) | VASP energy (eV per atom) |
| --- | --- | --- |
| 1 | 4.94 | -5.727 |
| 2 | 9.28 | -6.653 |
| 3 | 4.09 | -6.870 |
| 4 | 5.63 | -6.851 |
| 5 | 6.68 | -6.514 |
| 6 | 3.20 | -4.852 |
| 7 | 4.53 | -3.242 |
| 8 | 3.55 | -4.719 |
| 9 | 6.47 | -5.225 |
| 10 | 2.72 | -4.566 |
| 11 | 4.00 | -4.304 |
| 12 | 14.14 | -4.968 |
| 13 | 13.47 | -6.014 |
| 14 | 3.09 | -5.363 |
| 15 | 3.47 | -4.719 |
| 16 | 4.44 | -6.805 |
| 17 | 6.43 | -6.786 |
| 18 | 2.18 | -4.799 |
| 19 | 5.21 | -6.167 |
| 20 | 2.37 | -3.835 |